[1]
Compound: SiPdS3
Source: the Alexandria database
Functional: PBEsol
Structure: relaxed

Cell and atoms, written as CIF:
```
data_SiPdS3
_cell_length_a 14.181
_cell_length_b 3.398
_cell_length_c 9.041
_cell_angle_alpha 90.00
_cell_angle_beta 106.79
_cell_angle_gamma 90.00
_symmetry_space_group_name_H-M 'C 1 2/m 1'
_symmetry_Int_Tables_number 12
loop_
_symmetry_equiv_pos_as_xyz
'x,y,z'
'-x,-y,-z'
'-x,y,-z'
'x,-y,z'
'x+1/2,y+1/2,z'
'-x+1/2,-y+1/2,-z'
'-x+1/2,y+1/2,-z'
'x+1/2,-y+1/2,z'
loop_
_atom_site_label
_atom_site_type_symbol
_atom_site_fract_x
_atom_site_fract_y
_atom_site_fract_z
_atom_site_occupancy
Si1 Si 0.085 0.000 0.300 1
Pd1 Pd 0.109 0.500 0.972 1
S1 S 0.072 0.000 0.791 1
S2 S 0.127 0.500 0.452 1
S3 S 0.174 0.000 0.145 1
```

[2]
Compound: SmPd3S4
Source: the Alexandria database
Functional: PBEsol
Structure: relaxed

Cell and atoms, written as CIF:
```
data_SmPd3S4
_cell_length_a 6.622
_cell_length_b 6.622
_cell_length_c 6.622
_cell_angle_alpha 90.00
_cell_angle_beta 90.00
_cell_angle_gamma 90.00
_symmetry_space_group_name_H-M 'P m -3 n'
_symmetry_Int_Tables_number 223
_symmetry_space_group_name_Hall '-P 4n 2 3'
loop_
_atom_site_label
_atom_site_type_symbol
_atom_site_fract_x
_atom_site_fract_y
_atom_site_fract_z
_atom_site_occupancy
Sm1 Sm 0.000 0.000 0.000 1
Pd1 Pd 0.000 0.250 0.500 1
S1 S 0.250 0.250 0.250 1
```

[3]
Compound: Tl2SnPdS
Source: the Alexandria database
Functional: PBEsol
Structure: relaxed

Cell and atoms, written as CIF:
```
data_Tl2SnPdS
_cell_length_a 5.616
_cell_length_b 5.616
_cell_length_c 4.886
_cell_angle_alpha 90.00
_cell_angle_beta 90.00
_cell_angle_gamma 90.00
_symmetry_space_group_name_H-M 'P 4/m m m'
_symmetry_Int_Tables_number 123
_symmetry_space_group_name_Hall '-P 4 2'
loop_
_atom_site_label
_atom_site_type_symbol
_atom_site_fract_x
_atom_site_fract_y
_atom_site_fract_z
_atom_site_occupancy
Tl1 Tl 0.000 0.500 0.000 1
Sn1 Sn 0.000 0.000 0.000 1
Pd1 Pd 0.500 0.500 0.500 1
S1 S 0.000 0.000 0.500 1
```

[4]
Compound: TcPdS3
Source: the Alexandria database
Functional: PBEsol
Structure: relaxed

Cell and atoms, written as CIF:
```
data_TcPdS3
_cell_length_a 4.531
_cell_length_b 4.531
_cell_length_c 4.531
_cell_angle_alpha 90.00
_cell_angle_beta 90.00
_cell_angle_gamma 90.00
_symmetry_space_group_name_H-M 'P m -3 m'
_symmetry_Int_Tables_number 221
_symmetry_space_group_name_Hall '-P 4 2 3'
loop_
_atom_site_label
_atom_site_type_symbol
_atom_site_fract_x
_atom_site_fract_y
_atom_site_fract_z
_atom_site_occupancy
Tc1 Tc 0.000 0.000 0.000 1
Pd1 Pd 0.500 0.500 0.500 1
S1 S 0.000 0.000 0.500 1
```

[5]
Compound: Ti3PdS
Source: the Alexandria database
Functional: PBEsol
Structure: relaxed

Cell and atoms, written as CIF:
```
data_Ti3PdS
_cell_length_a 4.382
_cell_length_b 4.382
_cell_length_c 4.382
_cell_angle_alpha 90.00
_cell_angle_beta 90.00
_cell_angle_gamma 90.00
_symmetry_space_group_name_H-M 'P m -3 m'
_symmetry_Int_Tables_number 221
_symmetry_space_group_name_Hall '-P 4 2 3'
loop_
_atom_site_label
_atom_site_type_symbol
_atom_site_fract_x
_atom_site_fract_y
_atom_site_fract_z
_atom_site_occupancy
Ti1 Ti 0.000 0.000 0.500 1
Pd1 Pd 0.500 0.500 0.500 1
S1 S 0.000 0.000 0.000 1
```

[6]
Compound: TiPdS2
Source: the Alexandria database
Functional: PBEsol
Structure: relaxed

Cell and atoms, written as CIF:
```
data_TiPdS2
_cell_length_a 6.101
_cell_length_b 6.101
_cell_length_c 6.101
_cell_angle_alpha 90.00
_cell_angle_beta 90.00
_cell_angle_gamma 90.00
_symmetry_space_group_name_H-M 'F m -3 m'
_symmetry_Int_Tables_number 225
_symmetry_space_group_name_Hall '-F 4 2 3'
loop_
_atom_site_label
_atom_site_type_symbol
_atom_site_fract_x
_atom_site_fract_y
_atom_site_fract_z
_atom_site_occupancy
Ti1 Ti 0.000 0.000 0.000 1
Pd1 Pd 0.000 0.000 0.500 1
S1 S 0.250 0.250 0.250 1
```

[7]
Compound: TlPdS3
Source: the Alexandria database
Functional: PBEsol
Structure: relaxed

Cell and atoms, written as CIF:
```
data_TlPdS3
_cell_length_a 4.696
_cell_length_b 4.696
_cell_length_c 4.696
_cell_angle_alpha 90.00
_cell_angle_beta 90.00
_cell_angle_gamma 90.00
_symmetry_space_group_name_H-M 'P m -3 m'
_symmetry_Int_Tables_number 221
_symmetry_space_group_name_Hall '-P 4 2 3'
loop_
_atom_site_label
_atom_site_type_symbol
_atom_site_fract_x
_atom_site_fract_y
_atom_site_fract_z
_atom_site_occupancy
Tl1 Tl 0.000 0.000 0.000 1
Pd1 Pd 0.500 0.500 0.500 1
S1 S 0.000 0.500 0.500 1
```

[8]
Compound: U7Pd24S32
Source: the Alexandria database
Functional: PBEsol
Structure: relaxed

Cell and atoms, written as CIF:
```
data_U7Pd24S32
_cell_length_a 13.098
_cell_length_b 13.098
_cell_length_c 13.098
_cell_angle_alpha 90.00
_cell_angle_beta 90.00
_cell_angle_gamma 90.00
_symmetry_space_group_name_H-M 'I m -3'
_symmetry_Int_Tables_number 204
_symmetry_space_group_name_Hall '-I 2 2 3'
loop_
_atom_site_label
_atom_site_type_symbol
_atom_site_fract_x
_atom_site_fract_y
_atom_site_fract_z
_atom_site_occupancy
U1 U 0.000 0.000 0.500 1
U2 U 0.250 0.250 0.250 1
Pd1 Pd 0.000 0.133 0.249 1
Pd2 Pd 0.000 0.374 0.249 1
S1 S 0.124 0.126 0.375 1
S2 S 0.130 0.130 0.130 1
```

[9]
Compound: PdW3S
Source: the Alexandria database
Functional: PBEsol
Structure: relaxed

Cell and atoms, written as CIF:
```
data_PdW3S
_cell_length_a 4.686
_cell_length_b 4.686
_cell_length_c 4.686
_cell_angle_alpha 90.00
_cell_angle_beta 90.00
_cell_angle_gamma 90.00
_symmetry_space_group_name_H-M 'P m -3 m'
_symmetry_Int_Tables_number 221
_symmetry_space_group_name_Hall '-P 4 2 3'
loop_
_atom_site_label
_atom_site_type_symbol
_atom_site_fract_x
_atom_site_fract_y
_atom_site_fract_z
_atom_site_occupancy
Pd1 Pd 0.000 0.000 0.000 1
W1 W 0.000 0.000 0.500 1
S1 S 0.500 0.500 0.500 1
```

[10]
Compound: Pd2WS2
Source: the Alexandria database
Functional: PBEsol
Structure: relaxed

Cell and atoms, written as CIF:
```
data_Pd2WS2
_cell_length_a 3.099
_cell_length_b 3.099
_cell_length_c 16.714
_cell_angle_alpha 90.00
_cell_angle_beta 90.00
_cell_angle_gamma 90.00
_symmetry_space_group_name_H-M 'I 4/m m m'
_symmetry_Int_Tables_number 139
_symmetry_space_group_name_Hall '-I 4 2'
loop_
_atom_site_label
_atom_site_type_symbol
_atom_site_fract_x
_atom_site_fract_y
_atom_site_fract_z
_atom_site_occupancy
Pd1 Pd 0.000 0.000 0.098 1
W1 W 0.000 0.000 0.500 1
S1 S 0.000 0.500 0.250 1
```

[11]
Compound: Y3PdS
Source: the Alexandria database
Functional: PBEsol
Structure: relaxed

Cell and atoms, written as CIF:
```
data_Y3PdS
_cell_length_a 5.290
_cell_length_b 5.290
_cell_length_c 5.290
_cell_angle_alpha 90.00
_cell_angle_beta 90.00
_cell_angle_gamma 90.00
_symmetry_space_group_name_H-M 'P m -3 m'
_symmetry_Int_Tables_number 221
_symmetry_space_group_name_Hall '-P 4 2 3'
loop_
_atom_site_label
_atom_site_type_symbol
_atom_site_fract_x
_atom_site_fract_y
_atom_site_fract_z
_atom_site_occupancy
Y1 Y 0.000 0.000 0.500 1
Pd1 Pd 0.000 0.000 0.000 1
S1 S 0.500 0.500 0.500 1
```

[12]
Compound: YPd3S4
Source: the Alexandria database
Functional: PBEsol
Structure: relaxed

Cell and atoms, written as CIF:
```
data_YPd3S4
_cell_length_a 6.590
_cell_length_b 6.590
_cell_length_c 6.590
_cell_angle_alpha 90.00
_cell_angle_beta 90.00
_cell_angle_gamma 90.00
_symmetry_space_group_name_H-M 'P m -3 n'
_symmetry_Int_Tables_number 223
_symmetry_space_group_name_Hall '-P 4n 2 3'
loop_
_atom_site_label
_atom_site_type_symbol
_atom_site_fract_x
_atom_site_fract_y
_atom_site_fract_z
_atom_site_occupancy
Y1 Y 0.000 0.000 0.000 1
Pd1 Pd 0.000 0.250 0.500 1
S1 S 0.250 0.250 0.250 1
```

no.,raw total energy (eV/cell),raw formation energy (meV per atom),volume (Å³/cell)
1,-110.56,-557,417
2,-96.55,-971,290
3,-16.23,727,154
4,-27.94,487,93
5,-37.61,-460,84
6,-103.17,-686,227
7,-20.59,229,104
8,-830.88,-747,2247
9,-38.64,2625,103
10,-62.99,599,161
11,-32.15,-267,148
12,-99.84,-961,286